Entry A
HfHgCl6 after structural relaxation. Source: Alexandria via LeMat-Bulk, functional PBE.

Computed properties:
Crystal system: triclinic
Total magnetic moment (μB per cell): 0.00

Cell: 6.5027 6.5041 6.9816 Å, 117.72 90.05 119.97°
Closest atoms and distances in Å follow each position.
Sites, in units of the cell vectors:
Hf: 0.0000 0.0000 0.0000  6 Cl 2.46-2.47
Hg: 0.5000 0.0000 0.5000  6 Cl 2.73
Cl: 0.0776 0.8462 0.2384  1 Hf 2.47, 1 Hg 2.73
Cl: 0.2310 0.8392 0.7618  1 Hf 2.46, 1 Hg 2.73
Cl: 0.3918 0.4690 0.2380  1 Hf 2.46, 1 Hg 2.73
Cl: 0.6082 0.5310 0.7620  1 Hf 2.46, 1 Hg 2.73
Cl: 0.7690 0.1608 0.2382  1 Hf 2.46, 1 Hg 2.73
Cl: 0.9224 0.1538 0.7616  1 Hf 2.47, 1 Hg 2.73



Entry B
HfHgCl6 after structural relaxation. Source: Alexandria via LeMat-Bulk, functional PBE.

Computed properties:
Crystal system: monoclinic
Total magnetic moment (μB per cell): 0.00

Cell: 6.8961 6.8961 6.6677 Å, 98.54 98.54 107.70°
Closest atoms and distances in Å follow each position.
Sites, in units of the cell vectors:
Hf: 0.0000 0.0000 0.0000  6 Cl 2.47-2.48
Hg: 0.0000 0.0000 0.5000  6 Cl 2.73-2.74
Cl: 0.0293 0.7191 0.7405  1 Hf 2.48, 1 Hg 2.73
Cl: 0.2537 0.2537 0.8597  1 Hf 2.47, 1 Hg 2.74
Cl: 0.2809 0.9707 0.2595  1 Hf 2.48, 1 Hg 2.73
Cl: 0.7191 0.0293 0.7405  1 Hf 2.48, 1 Hg 2.73
Cl: 0.7463 0.7463 0.1403  1 Hf 2.47, 1 Hg 2.74
Cl: 0.9707 0.2809 0.2595  1 Hf 2.48, 1 Hg 2.73



Name the most stable of them. entry B.



Entry A
Rb2HfHgCl6 after structural relaxation. Source: Alexandria via LeMat-Bulk, functional PBE.

Computed properties:
Crystal system: cubic
Total magnetic moment (μB per cell): 0.00

Cell: 8.1601 8.1601 8.1601 Å, 60.00 60.00 60.00°
Closest atoms and distances in Å follow each position.
Sites, in units of the cell vectors:
Rb: 0.2500 0.2500 0.2500  12 Cl 4.10
Rb: 0.7500 0.7500 0.7500  12 Cl 4.10
Hf: 0.0000 0.0000 0.0000  6 Cl 2.46
Hg: 0.5000 0.5000 0.5000  6 Cl 3.31
Cl: 0.2131 0.2131 0.7869  1 Hf 2.46
Cl: 0.2131 0.7869 0.2131  1 Hf 2.46
Cl: 0.2131 0.7869 0.7869  1 Hf 2.46
Cl: 0.7869 0.2131 0.2131  1 Hf 2.46
Cl: 0.7869 0.2131 0.7869  1 Hf 2.46
Cl: 0.7869 0.7869 0.2131  1 Hf 2.46



Entry B
Rb2HfHgCl6 after structural relaxation. Source: Alexandria via LeMat-Bulk, functional PBE.

Computed properties:
Crystal system: trigonal
Total magnetic moment (μB per cell): 0.00

Cell: 19.9404 19.9404 19.9404 Å, 21.00 21.00 21.00°
Closest atoms and distances in Å follow each position.
Sites, in units of the cell vectors:
Rb: 0.1448 0.1448 0.1448  9 Cl 3.47-3.64
Rb: 0.3117 0.3117 0.3117  9 Cl 3.46-3.64
Rb: 0.6883 0.6883 0.6883  9 Cl 3.46-3.64
Rb: 0.8552 0.8552 0.8552  9 Cl 3.47-3.64
Hf: 0.0000 0.0000 0.0000  6 Cl 2.46
Hf: 0.5000 0.5000 0.5000  6 Cl 2.46
Hg: 0.4157 0.4157 0.4157  6 Cl 4.04-4.05
Hg: 0.5843 0.5843 0.5843  6 Cl 4.04-4.05
Cl: 0.1557 0.6358 0.6358  1 Hf 2.46
Cl: 0.1842 0.1842 0.7044  1 Hf 2.46
Cl: 0.1842 0.7044 0.1842  1 Hf 2.46
Cl: 0.2956 0.8158 0.8158  1 Hf 2.46
Cl: 0.3642 0.3642 0.8443  1 Hf 2.46
Cl: 0.3642 0.8443 0.3642  1 Hf 2.46
Cl: 0.6358 0.1557 0.6358  1 Hf 2.46
Cl: 0.6358 0.6358 0.1557  1 Hf 2.46
Cl: 0.7044 0.1842 0.1842  1 Hf 2.46
Cl: 0.8158 0.2956 0.8158  1 Hf 2.46
Cl: 0.8158 0.8158 0.2956  1 Hf 2.46
Cl: 0.8443 0.3642 0.3642  1 Hf 2.46



Name the most stable of them. entry B.



Entry A
HfHg3Se2Cl6 after structural relaxation. Source: Alexandria via LeMat-Bulk, functional PBE.

Computed properties:
Crystal system: monoclinic
Total magnetic moment (μB per cell): 0.00

Cell: 6.9681 7.7977 13.5181 Å, 90.00 90.05 90.00°
Closest atoms and distances in Å follow each position.
Sites, in units of the cell vectors:
Hf: 0.0000 0.0000 0.0000  6 Cl 2.46
Hf: 0.0000 0.5000 0.5000  6 Cl 2.46
Hg: 0.4994 0.2491 0.2497  2 Se 2.56
Hg: 0.4994 0.2509 0.7497  2 Se 2.56
Hg: 0.5000 0.0000 0.5000  2 Se 2.56
Hg: 0.5000 0.5000 0.0000  2 Se 2.56
Hg: 0.5006 0.7491 0.2503  2 Se 2.56
Hg: 0.5006 0.7509 0.7503  2 Se 2.56
Se: 0.3254 0.5010 0.8333  3 Hg 2.56
Se: 0.3254 0.9990 0.3333  3 Hg 2.56
Se: 0.6746 0.0010 0.6667  3 Hg 2.56
Se: 0.6746 0.4990 0.1667  3 Hg 2.56
Cl: 0.1996 0.2261 0.0751  1 Hf 2.46
Cl: 0.1996 0.2739 0.5751  1 Hf 2.46
Cl: 0.2014 0.0010 0.8503  1 Hf 2.46
Cl: 0.2014 0.4990 0.3503  1 Hf 2.46
Cl: 0.2025 0.7239 0.5750  1 Hf 2.46
Cl: 0.2025 0.7761 0.0750  1 Hf 2.46
Cl: 0.7975 0.2239 0.9250  1 Hf 2.46
Cl: 0.7975 0.2761 0.4250  1 Hf 2.46
Cl: 0.7986 0.5010 0.6497  1 Hf 2.46
Cl: 0.7986 0.9990 0.1497  1 Hf 2.46
Cl: 0.8004 0.7261 0.4249  1 Hf 2.46
Cl: 0.8004 0.7739 0.9249  1 Hf 2.46



Entry B
HfHg3Se2Cl6 after structural relaxation. Source: Alexandria via LeMat-Bulk, functional PBE.

Computed properties:
Crystal system: monoclinic
Total magnetic moment (μB per cell): 0.00

Cell: 8.5382 8.5382 6.7726 Å, 111.07 111.07 52.68°
Closest atoms and distances in Å follow each position.
Sites, in units of the cell vectors:
Hf: 0.0000 0.0000 0.0000  6 Cl 2.45-2.48
Hg: 0.0000 0.5000 0.5000  2 Se 2.58
Hg: 0.5000 0.0000 0.5000  2 Se 2.58
Hg: 0.5000 0.5000 0.5000  2 Se 2.57
Se: 0.3170 0.3170 0.3434  3 Hg 2.57-2.58
Se: 0.6830 0.6830 0.6566  3 Hg 2.57-2.58
Cl: 0.0826 0.0826 0.3994  1 Hf 2.48
Cl: 0.1239 0.6603 0.0208  1 Hf 2.45
Cl: 0.3397 0.8761 0.9792  1 Hf 2.45
Cl: 0.6603 0.1239 0.0208  1 Hf 2.45
Cl: 0.8761 0.3397 0.9792  1 Hf 2.45
Cl: 0.9174 0.9174 0.6006  1 Hf 2.48



Name the most stable of them. entry A.



Entry A
HfI2Cl after structural relaxation. Source: Alexandria via LeMat-Bulk, functional PBE.

Computed properties:
Crystal system: cubic
Total magnetic moment (μB per cell): 1.00

Cell: 5.2248 5.2248 5.2248 Å, 60.00 60.00 60.00°
Closest atoms and distances in Å follow each position.
Sites, in units of the cell vectors:
Hf: 0.0000 0.0000 0.0000  8 I 3.20
I: 0.2500 0.2500 0.2500  4 Cl 3.20, 4 Hf 3.20
I: 0.7500 0.7500 0.7500  4 Cl 3.20, 4 Hf 3.20
Cl: 0.5000 0.5000 0.5000  8 I 3.20



Entry B
HfI2Cl after structural relaxation. Source: Alexandria via LeMat-Bulk, functional PBE.

Computed properties:
Crystal system: tetragonal
Total magnetic moment (μB per cell): 1.97

Cell: 7.9469 7.9469 7.9469 Å, 95.68 95.68 143.32°
Closest atoms and distances in Å follow each position.
Sites, in units of the cell vectors:
Hf: 0.0000 0.0000 0.0000  2 Cl 2.50
Hf: 0.7500 0.2500 0.5000  2 Cl 2.50
I: 0.3750 0.0293 0.1543  2 Hf 2.92
I: 0.7793 0.6250 0.6543  2 Hf 2.92
I: 0.8750 0.2207 0.8457  2 Hf 2.92
I: 0.9707 0.1250 0.3457  2 Hf 2.92
Cl: 0.2500 0.7500 0.5000  2 Hf 2.50
Cl: 0.5000 0.5000 0.0000  2 Hf 2.50



Name the most stable of them. entry B.



Entry A
Hf2ICl after structural relaxation. Source: Alexandria via LeMat-Bulk, functional PBE.

Computed properties:
Crystal system: cubic
Total magnetic moment (μB per cell): 0.00

Cell: 4.9061 4.9061 4.9061 Å, 60.00 60.00 60.00°
Closest atoms and distances in Å follow each position.
Sites, in units of the cell vectors:
Hf: 0.2500 0.2500 0.2500  4 Cl 3.00, 4 I 3.00
Hf: 0.7500 0.7500 0.7500  4 Cl 3.00, 4 I 3.00
I: 0.0000 0.0000 0.0000  8 Hf 3.00
Cl: 0.5000 0.5000 0.5000  8 Hf 3.00



Entry B
Hf2ICl after structural relaxation. Source: Alexandria via LeMat-Bulk, functional PBE.

Computed properties:
Crystal system: tetragonal
Total magnetic moment (μB per cell): 1.12

Cell: 9.7999 9.7999 9.7999 Å, 152.75 152.75 38.91°
Closest atoms and distances in Å follow each position.
Sites, in units of the cell vectors:
Hf: 0.1041 0.6250 0.9791  2 Cl 2.79, 2 I 2.87
Hf: 0.3750 0.3541 0.4791  2 Cl 2.79, 2 I 2.87
Hf: 0.6459 0.1250 0.0209  2 Cl 2.79, 2 I 2.87
Hf: 0.8750 0.8959 0.5209  2 Cl 2.79, 2 I 2.87
I: 0.2500 0.7500 0.5000  4 Hf 2.87
I: 0.5000 0.5000 0.0000  4 Hf 2.87
Cl: 0.0000 0.0000 0.0000  4 Hf 2.79
Cl: 0.7500 0.2500 0.5000  4 Hf 2.79



Name the most stable of them. entry B.



Entry A
HfP2ICl after structural relaxation. Source: Alexandria via LeMat-Bulk, functional PBE.

Computed properties:
Crystal system: tetragonal
Total magnetic moment (μB per cell): 0.00

Cell: 5.1293 5.1293 4.8956 Å, 90.00 90.00 90.00°
Closest atoms and distances in Å follow each position.
Sites, in units of the cell vectors:
Hf: 0.0000 0.0000 0.0000  2 Cl 2.45, 4 P 2.56
P: 0.0000 0.5000 0.0000  2 Hf 2.56
P: 0.5000 0.0000 0.0000  2 Hf 2.56
I: 0.5000 0.5000 0.5000  8 P 3.55, 4 Cl 3.63
Cl: 0.0000 0.0000 0.5000  2 Hf 2.45



Entry B
HfP2ICl after structural relaxation. Source: Alexandria via LeMat-Bulk, functional PBE.

Computed properties:
Crystal system: tetragonal
Total magnetic moment (μB per cell): 0.38

Cell: 5.1113 5.1113 5.0124 Å, 90.00 90.00 90.00°
Closest atoms and distances in Å follow each position.
Sites, in units of the cell vectors:
Hf: 0.0000 0.0000 0.0000  8 P 3.58, 4 Cl 3.61
P: 0.0000 0.5000 0.5000  2 I 2.56
P: 0.5000 0.0000 0.5000  2 I 2.56
I: 0.5000 0.5000 0.5000  2 Cl 2.51, 4 P 2.56
Cl: 0.5000 0.5000 0.0000  2 I 2.51



Name the most stable of them. entry A.